Entry 1:
First-principles (PBE-GGA) data for crystalline SrTc at its relaxed geometry, as listed in Alexandria.

## Properties
- Final energy: -5.513 eV per atom
- N(E_F): 1.95 states/eV/f.u.
- Polymorph energy (0 for the lowest one): 262 meV per atom
- ΔE_f: 0.511 eV/atom
- Total moment: 0.0 μB per formula unit

a b c (Å): 4.0730 4.0730 9.3183
angles (deg): 90.00 90.00 120.00
Fractional positions:
Tc (0.0000, 0.0000, 0.6018)
Tc (0.6667, 0.3333, 0.6482)
Sr (0.6667, 0.3333, 0.3268)
Sr (0.0000, 0.0000, 0.9232)



Entry 2:
First-principles (PBE-GGA) data for crystalline SrTc at its relaxed geometry, as listed in Alexandria.

## Properties
- Final energy: -5.198 eV per atom
- N(E_F): 2.97 states/eV/f.u.
- Polymorph energy (0 for the lowest one): 577 meV per atom
- ΔE_f: 0.826 eV/atom
- Total moment: 0.0 μB per formula unit

a b c (Å): 4.9728 4.9728 4.9728
angles (deg): 66.61 66.61 66.61
Fractional positions:
Tc (0.9038, 0.9038, 0.9038)
Sr (0.3609, 0.3609, 0.3609)
Sr (0.6391, 0.6391, 0.6391)
Tc (0.0962, 0.0962, 0.0962)



Entry 3:
First-principles (PBE-GGA) data for crystalline SrTc at its relaxed geometry, as listed in Alexandria.

## Properties
- Final energy: -4.839 eV per atom
- N(E_F): 2.59 states/eV/f.u.
- Polymorph energy (0 for the lowest one): 936 meV per atom
- ΔE_f: 1.185 eV/atom
- Total moment: 0.5 μB per formula unit

a b c (Å): 6.5453 6.5453 6.2148
angles (deg): 90.00 90.00 90.00
Site moments in Bohr magnetons follow the coordinates.
Fractional positions:
Sr (0.1876, 0.8124, 0.0000)  0.00
Sr (0.6876, 0.6876, 0.5000)  0.00
Tc (0.3844, 0.3844, 0.0000)  0.42
Tc (0.8844, 0.1156, 0.5000)  0.42
Tc (0.6156, 0.6156, 0.0000)  0.42
Tc (0.1156, 0.8844, 0.5000)  0.42
Sr (0.8124, 0.1876, 0.0000)  0.00
Sr (0.3124, 0.3124, 0.5000)  0.00



Entry 4:
First-principles (PBE-GGA) data for crystalline Sr2Tc at its relaxed geometry, as listed in Alexandria.

## Properties
- Final energy: -4.298 eV per atom
- N(E_F): 4.22 states/eV/f.u.
- Polymorph energy (0 for the lowest one): 0 meV per atom
- ΔE_f: 0.278 eV/atom
- Total moment: 0.0 μB per formula unit

a b c (Å): 9.7557 9.7557 6.5514
angles (deg): 62.58 62.58 24.03
Fractional positions:
Tc (0.2619, 0.2619, 0.5735)
Sr (0.0826, 0.0826, 0.6356)
Sr (0.9174, 0.9174, 0.3644)
Sr (0.3408, 0.3408, 0.9896)
Tc (0.7381, 0.7381, 0.4265)
Sr (0.6592, 0.6592, 0.0104)



Entry 5:
First-principles (PBE-GGA) data for crystalline SrTc at its relaxed geometry, as listed in Alexandria.

## Properties
- Final energy: -4.747 eV per atom
- N(E_F): 3.11 states/eV/f.u.
- Polymorph energy (0 for the lowest one): 1028 meV per atom
- ΔE_f: 1.277 eV/atom
- Total moment: 2.4 μB per formula unit

a b c (Å): 9.4027 9.4027 9.4027
angles (deg): 90.00 90.00 90.00
Site moments in Bohr magnetons follow the coordinates.
Fractional positions:
Sr (0.2903, 0.7097, 0.2903)  0.09
Sr (0.7903, 0.7903, 0.2097)  0.09
Sr (0.7097, 0.2903, 0.2903)  0.09
Sr (0.2903, 0.2903, 0.7097)  0.09
Tc (0.4052, 0.4052, 0.4052)  1.66
Tc (0.0948, 0.0948, 0.9052)  1.66
Tc (0.5948, 0.4052, 0.5948)  1.66
Sr (0.2097, 0.7903, 0.7903)  0.09
Sr (0.7097, 0.7097, 0.7097)  0.09
Tc (0.9052, 0.0948, 0.0948)  1.66
Tc (0.0948, 0.9052, 0.0948)  1.66
Sr (0.7903, 0.2097, 0.7903)  0.09
Tc (0.5948, 0.5948, 0.4052)  1.66
Tc (0.4052, 0.5948, 0.5948)  1.66
Tc (0.9052, 0.9052, 0.9052)  1.66
Sr (0.2097, 0.2097, 0.2097)  0.09



Entry 6:
First-principles (PBE-GGA) data for crystalline SrTc at its relaxed geometry, as listed in Alexandria.

## Properties
- Final energy: -5.439 eV per atom
- N(E_F): 1.73 states/eV/f.u.
- Polymorph energy (0 for the lowest one): 336 meV per atom
- ΔE_f: 0.584 eV/atom
- Total moment: 0.6 μB per formula unit

a b c (Å): 13.4265 3.8240 7.0728
angles (deg): 90.00 90.00 90.00
Site moments in Bohr magnetons follow the coordinates.
Fractional positions:
Sr (0.7147, 0.5000, 0.2820)  0.05
Tc (0.4068, 0.5000, 0.9085)  0.77
Tc (0.5932, 0.5000, 0.9085)  0.77
Tc (0.0000, 0.5000, 0.5456)  -0.14
Sr (0.5000, 0.0000, 0.5754)  -0.02
Tc (0.5000, 0.0000, 0.0456)  -0.14
Sr (0.2853, 0.5000, 0.2820)  0.05
Tc (0.9068, 0.0000, 0.4085)  0.77
Sr (0.2147, 0.0000, 0.7820)  0.05
Tc (0.0932, 0.0000, 0.4085)  0.77
Sr (0.7853, 0.0000, 0.7820)  0.05
Sr (0.0000, 0.5000, 0.0754)  -0.02



Entry 7:
First-principles (PBE-GGA) data for crystalline SrTc at its relaxed geometry, as listed in Alexandria.

## Properties
- Final energy: -5.488 eV per atom
- N(E_F): 1.66 states/eV/f.u.
- Polymorph energy (0 for the lowest one): 287 meV per atom
- ΔE_f: 0.536 eV/atom
- Total moment: 0.0 μB per formula unit

a b c (Å): 3.7609 3.3803 9.1593
angles (deg): 90.00 90.00 90.00
Fractional positions:
Tc (0.0000, 0.5000, 0.4320)
Sr (0.0000, 0.0000, 0.1181)
Tc (0.5000, 0.0000, 0.4014)
Sr (0.5000, 0.5000, 0.7152)



Entry 8:
First-principles (PBE-GGA) data for crystalline SrTc3 at its relaxed geometry, as listed in Alexandria.

## Properties
- Final energy: -7.571 eV per atom
- N(E_F): 3.99 states/eV/f.u.
- Polymorph energy (0 for the lowest one): 38 meV per atom
- ΔE_f: 0.624 eV/atom
- Total moment: 0.0 μB per formula unit

a b c (Å): 4.9637 4.9637 5.8600
angles (deg): 76.34 76.34 36.13
Fractional positions:
Tc (0.5000, 0.5000, 0.5000)
Sr (0.0000, 0.0000, 0.0000)
Tc (0.2141, 0.2141, 0.3516)
Tc (0.7859, 0.7859, 0.6484)



Entry 9:
First-principles (PBE-GGA) data for crystalline Sr2Tc at its relaxed geometry, as listed in Alexandria.

## Properties
- Final energy: -4.098 eV per atom
- N(E_F): 4.07 states/eV/f.u.
- Polymorph energy (0 for the lowest one): 201 meV per atom
- ΔE_f: 0.479 eV/atom
- Total moment: 0.0 μB per formula unit

a b c (Å): 15.0735 15.0735 4.1456
angles (deg): 90.00 90.00 166.02
Fractional positions:
Sr (0.6970, 0.3030, 0.7500)
Tc (0.9815, 0.0185, 0.2500)
Sr (0.3030, 0.6970, 0.2500)
Sr (0.4239, 0.5761, 0.7500)
Sr (0.5761, 0.4239, 0.2500)
Tc (0.0185, 0.9815, 0.7500)



Entry 10:
First-principles (PBE-GGA) data for crystalline SrTc3 at its relaxed geometry, as listed in Alexandria.

## Properties
- Final energy: -7.551 eV per atom
- N(E_F): 4.50 states/eV/f.u.
- Polymorph energy (0 for the lowest one): 58 meV per atom
- ΔE_f: 0.644 eV/atom
- Total moment: 0.0 μB per formula unit

a b c (Å): 7.0654 7.0654 4.3097
angles (deg): 90.00 90.00 118.79
Fractional positions:
Tc (0.1151, 0.2359, 0.7500)
Tc (0.1202, 0.8798, 0.7500)
Sr (0.6632, 0.3368, 0.7500)
Tc (0.2359, 0.1151, 0.2500)
Tc (0.7641, 0.8849, 0.7500)
Tc (0.8798, 0.1202, 0.2500)
Sr (0.3368, 0.6632, 0.2500)
Tc (0.8849, 0.7641, 0.2500)



Entry 11:
First-principles (PBE-GGA) data for crystalline SrTc at its relaxed geometry, as listed in Alexandria.

## Properties
- Final energy: -5.530 eV per atom
- N(E_F): 2.71 states/eV/f.u.
- Polymorph energy (0 for the lowest one): 245 meV per atom
- ΔE_f: 0.493 eV/atom
- Total moment: 0.0 μB per formula unit

a b c (Å): 3.9376 6.3531 9.3860
angles (deg): 90.00 90.00 90.00
Fractional positions:
Tc (0.7500, 0.4101, 0.0261)
Sr (0.7500, 0.6021, 0.6816)
Tc (0.7500, 0.0899, 0.5261)
Sr (0.7500, 0.8979, 0.1816)
Sr (0.2500, 0.3979, 0.3184)
Tc (0.2500, 0.5899, 0.9739)
Sr (0.2500, 0.1021, 0.8184)
Tc (0.2500, 0.9101, 0.4739)



Entry 12:
First-principles (PBE-GGA) data for crystalline SrTc at its relaxed geometry, as listed in Alexandria.

## Properties
- Final energy: -5.123 eV per atom
- N(E_F): 2.52 states/eV/f.u.
- Polymorph energy (0 for the lowest one): 652 meV per atom
- ΔE_f: 0.900 eV/atom
- Total moment: 0.0 μB per formula unit

a b c (Å): 12.9927 12.9927 3.6966
angles (deg): 90.00 90.00 120.00
Fractional positions:
Tc (0.0310, 0.4695, 0.7500)
Sr (0.5661, 0.8246, 0.7500)
Sr (0.2584, 0.4339, 0.7500)
Tc (0.9690, 0.5305, 0.2500)
Sr (0.4339, 0.1754, 0.2500)
Tc (0.4385, 0.9690, 0.7500)
Tc (0.5615, 0.0310, 0.2500)
Sr (0.8246, 0.2584, 0.2500)
Tc (0.4695, 0.4385, 0.2500)
Tc (0.5305, 0.5615, 0.7500)
Sr (0.1754, 0.7416, 0.7500)
Sr (0.7416, 0.5661, 0.2500)